This record from the Alexandria database describes crystalline GdLuCdPb at its relaxed geometry. The functional is PBE.

Unit cell a=5.331 b=5.331 c=5.331 alpha=60.00 beta=60.00 gamma=60.00
Sites, in units of the cell vectors:
Gd 0.000 0.000 0.000
Lu 0.500 0.500 0.500
Cd 0.250 0.250 0.250
Pb 0.750 0.750 0.750

Output
Space group   F-43m (216)
Energy relative to the elements   -0.36 eV per atom
Calculated density   10.10 g/cm3
V   107 Å³/cell
DFT total energy   -6.164 eV per atom
Crystal system   cubic